The following is a DFT calculation (GGA+U) of a geometry-optimized Fe3OF5 structure.

Lattice parameters (Å, degrees): 4.782 5.776 8.065 92.11 90.42 90.02
Fractional positions:
Fe 0.000 0.000 0.000
Fe 0.006 0.681 0.688
Fe 0.448 0.520 0.019
Fe 0.478 0.835 0.335
Fe 0.494 0.188 0.665
Fe 0.987 0.361 0.326
O 0.196 0.708 0.890
O 0.293 0.545 0.230
F 0.179 0.044 0.237
F 0.179 0.395 0.583
F 0.275 0.887 0.570
F 0.296 0.223 0.905
F 0.683 0.153 0.431
F 0.687 0.801 0.094
F 0.693 0.486 0.774
F 0.774 0.310 0.087
F 0.792 0.661 0.463
F 0.793 0.973 0.756

Output
calculated total energy = -51.300 eV/f.u.
relative energy among the computed polymorphs = 0.20 eV/f.u.
calculated volume = 12.4 Å³ per atom